(1)
A plane-wave DFT calculation with PBE-GGA was carried out for a relaxed Ta5RuW crystal.

Lattice parameters (Å, degrees): 7.3476 7.3675 10.0725 90.00 111.33 90.00
Closest atoms and distances in Å follow each position.
Space group C2/c (No. 15)
Asymmetric unit:
Ta  0.0000  0.1430  0.2500 x4  1 Ru 2.61, 2 W 2.64, 4 Ta 2.82-2.92
Ta  0.1052  0.4941  0.1486 x8  1 Ru 2.63, 2 Ta 2.83-2.92, 1 W 2.84
Ta  0.1567  0.1135  0.0332 x8  3 Ta 2.65-2.82, 2 Ru 2.76-2.96, 1 W 2.81
Ru  0.0000  0.2118  0.7500 x4  5 Ta 2.61-2.76
W  0.2500  0.2500  0.5000 x4  6 Ta 2.64-2.84

Results
Energy: -11.357 eV per atom

(2)
A plane-wave DFT calculation with PBE-GGA was carried out for a relaxed TaRu4W crystal.

Lattice parameters (Å, degrees): 7.1726 7.1726 7.1726 90.00 90.00 90.00
Closest atoms and distances in Å follow each position.
Space group F-43m (No. 216)
Asymmetric unit:
Ta  0.0000  0.0000  0.0000 x4  12 Ru 2.97, 4 W 3.11
Ru  0.1249  0.1249  0.3751 x16  6 Ru 2.53-2.54
W  0.2500  0.2500  0.7500 x4  12 Ru 2.97, 4 Ta 3.11

Results
Energy: -10.163 eV per atom

| no. | energy of formation from the pure elements (kcal/mol of atoms) |
| --- | --- |
| 1 | 6.573 |
| 2 | 3.584 |